Tl2MoPb: optimized geometry, PBE.

The relative energy among the computed polymorphs is 164 meV/atom. The magnetization comes out at 0.95 μB/cell. The formation energy comes out at 653 meV per atom.

Lattice parameters (Å, degrees): 3.1857 3.1857 9.7214 90.00 90.00 90.00
With the nearest neighbours (Å) after each atom.
Space group P4/mmm (No. 123)
Asymmetric unit:
Tl (0.0000, 0.0000, 0.2093) x2  4 Mo 3.04, 4 Tl 3.19
Mo (0.5000, 0.5000, 0.0000) x1  8 Tl 3.04, 4 Mo 3.19
Pb (0.5000, 0.5000, 0.5000) x1  4 Pb 3.19